1.
AcDySiIr: relaxed, PBE-GGA.

a b c (Å): 7.287 7.287 7.287
angles (deg): 90.00 90.00 90.00
Space group F-43m (No. 216)
Asymmetric unit:
Ac 0.000 0.000 0.000
Dy 0.000 0.000 0.500
Si 0.250 0.250 0.750
Ir 0.250 0.250 0.250

Results
DOS(E_F): 13.06 states/eV/cell
Calculated volume: 387.0 Å³/cell
Formation energy without anion corrections: -0.400 eV/atom



2.
RbTlS2: relaxed, PBE-GGA.

a b c (Å): 4.606 6.124 6.134
angles (deg): 71.02 68.53 68.43
Space group P1 (No. 1)
Asymmetric unit:
Rb 0.000 0.000 0.000
Tl 0.440 0.551 0.550
S 0.740 0.904 0.603
S 0.742 0.604 0.900

Results
DOS(E_F): 0.00 states/eV/cell
Calculated volume: 146.1 Å³/cell
Polymorph energy (0 for the lowest one): 0.27 eV per formula unit
Formation energy without anion corrections: -0.570 eV/atom



3.
TbCuBi2: relaxed, PBE-GGA.

a b c (Å): 4.850 4.850 4.309
angles (deg): 90.00 90.00 90.00
Space group P4/mmm (No. 123)
Asymmetric unit:
Tb 0.000 0.000 0.000
Cu 0.500 0.500 0.000
Bi 0.000 0.500 0.500

Results
DOS(E_F): 2.35 states/eV/cell
Calculated volume: 101.4 Å³/cell
Calculated formation energy: -248 meV/atom



4.
TaMo2Cl: relaxed, PBE-GGA.

a b c (Å): 2.8932 2.8932 27.4988
angles (deg): 90.00 90.00 120.00
Space group R-3m (No. 166, hexagonal axes)
Asymmetric unit:
Ta 0.0000 0.0000 0.0000
Mo 0.0000 0.0000 0.2444
Cl 0.0000 0.0000 0.5000

Results
DOS(E_F): 17.14 states/eV/cell
Calculated volume: 199.3 Å³/cell
Polymorph energy (0 for the lowest one): 0.82 eV per formula unit
Formation energy without anion corrections: 0.381 eV/atom



5.
Ba3Sc2BiO8: relaxed, PBE-GGA.

a b c (Å): 6.1833 6.1833 7.7231
angles (deg): 90.00 90.00 120.00
Space group P-3m1 (No. 164)
Asymmetric unit:
Ba 0.0000 0.0000 0.0000
Ba 0.3333 0.6667 0.6495
Sc 0.3333 0.6667 0.2064
Bi 0.0000 0.0000 0.5000
O 0.1646 0.3292 0.3188
O 0.3333 0.6667 0.9609

Results
DOS(E_F): 3.49 states/eV/cell
Calculated volume: 255.7 Å³/cell
Formation energy without anion corrections: -2.519 eV/atom



6.
KTiIn2Cl6: relaxed, PBE-GGA.

a b c (Å): 7.579 7.587 7.627
angles (deg): 60.25 60.23 60.05
Space group P1 (No. 1)
Asymmetric unit:
K 0.000 0.000 0.000
Ti 0.493 0.494 0.519
In 0.281 0.282 0.156
In 0.786 0.785 0.644
Cl 0.179 0.372 0.759
Cl 0.271 0.798 0.307
Cl 0.372 0.689 0.760
Cl 0.624 0.272 0.306
Cl 0.689 0.179 0.760
Cl 0.798 0.624 0.308

Results
DOS(E_F): 6.55 states/eV/cell
Calculated volume: 311.4 Å³/cell
Formation energy without anion corrections: -1.349 eV/atom



7.
LiMgMn2: relaxed, PBE-GGA.

a b c (Å): 2.952 4.665 9.224
angles (deg): 90.00 90.00 90.00
Space group Imm2 (No. 44)
Asymmetric unit:
Li 0.000 0.000 0.000
Mg 0.000 0.500 0.243
Mn 0.000 0.000 0.481
Mn 0.000 0.500 0.746

Results
DOS(E_F): 5.97 states/eV/cell
Calculated volume: 127.0 Å³/cell
Calculated formation energy: 391 meV/atom



8.
Y3HoRh2: relaxed, PBE-GGA.

a b c (Å): 6.705 13.572 7.112
angles (deg): 90.00 90.00 90.00
Space group Ibam (No. 72)
Asymmetric unit:
Y 0.000 0.000 0.250
Y 0.000 0.268 0.250
Ho 0.000 0.500 0.000
Rh 0.214 0.137 0.000

Results
DOS(E_F): 21.00 states/eV/cell
Calculated volume: 647.2 Å³/cell
Calculated formation energy: -557 meV/atom



9.
CsZn2CrW: relaxed, PBE-GGA.

a b c (Å): 5.247 5.247 4.416
angles (deg): 90.00 90.00 90.00
Space group P4/mmm (No. 123)
Asymmetric unit:
Cs 0.000 0.000 0.000
Zn 0.000 0.500 0.500
Cr 0.500 0.500 0.500
W 0.500 0.500 0.000

Results
DOS(E_F): 3.94 states/eV/cell
Calculated volume: 121.6 Å³/cell
Calculated formation energy: 1120 meV/atom



10.
Tm3Ga4Ni8: relaxed, PBE-GGA.

a b c (Å): 12.076 12.076 12.076
angles (deg): 90.00 90.00 90.00
Space group Fm-3m (No. 225)
Asymmetric unit:
Tm 0.000 0.000 0.230
Ga 0.000 0.000 0.000
Ga 0.000 0.000 0.500
Ga 0.000 0.250 0.250
Ni 0.125 0.125 0.375
Ni 0.173 0.173 0.173

Results
DOS(E_F): 56.33 states/eV/cell
Calculated volume: 1761.2 Å³/cell
Calculated formation energy: -531 meV/atom



11.
SrLiH3: relaxed, PBE-GGA.

a b c (Å): 3.785 3.785 3.785
angles (deg): 90.00 90.00 90.00
Space group Pm-3m (No. 221)
Asymmetric unit:
Sr 0.000 0.000 0.000
Li 0.500 0.500 0.500
H 0.000 0.500 0.500

Results
DOS(E_F): 0.00 states/eV/cell
Calculated volume: 54.2 Å³/cell
Polymorph energy (0 for the lowest one): 0.00 eV per formula unit



12.
V2TeRu2: relaxed, PBE-GGA.

a b c (Å): 3.997 3.997 10.992
angles (deg): 90.00 90.00 90.00
Space group I4/mmm (No. 139)
Asymmetric unit:
V 0.000 0.500 0.250
Te 0.000 0.000 0.000
Ru 0.000 0.000 0.374

Results
DOS(E_F): 5.63 states/eV/cell
Calculated volume: 175.6 Å³/cell
Polymorph energy (0 for the lowest one): 0.20 eV per formula unit
Formation energy without anion corrections: 0.083 eV/atom